Entry one
LaNdCuHg, relaxed, DFT GGA-PBE; M_tot = 0.000 μB per formula unit; space-group type = No. 99; crystal system = tetragonal
1.0
3.7268 0.0000 0.0000
0.0000 3.7268 0.0000
0.0000 0.0000 7.6182
La Nd Cu Hg
1 1 1 1
Direct
0.5000 0.5000 0.1283
0.5000 0.5000 0.5838
0.0000 0.0000 0.3674
0.0000 0.0000 0.8485

---

Entry two
LaNdCuHg, relaxed, DFT GGA-PBE; M_tot = 0.021 μB per formula unit; space-group type = No. 216; crystal system = cubic
1.0
5.3349 0.0000 0.0000
2.6674 4.6201 0.0000
2.6674 1.5400 4.3559
Nd Hg Cu La
1 1 1 1
Direct
0.0000 0.0000 0.0000
0.7500 0.7500 0.7500
0.2500 0.2500 0.2500
0.5000 0.5000 0.5000

---

We find entry one to be the most stable, with the next structure 0.025 eV/atom higher.

---

Entry one
LiCuHg, relaxed, DFT GGA-PBE; M_tot = 0.000 μB per formula unit; space-group type = No. 40; crystal system = orthorhombic
1.0
4.5997 0.0000 0.0000
0.0000 5.0549 0.0000
0.0000 0.0000 8.3158
Li Cu Hg
4 4 4
Direct
0.2500 0.1735 0.2406
0.7500 0.8265 0.2406
0.2500 0.6735 0.7406
0.7500 0.3265 0.7406
0.2500 0.1416 0.9004
0.7500 0.8584 0.9004
0.2500 0.6416 0.4004
0.7500 0.3584 0.4004
0.2500 0.6849 0.0701
0.7500 0.3151 0.0701
0.2500 0.1849 0.5701
0.7500 0.8151 0.5701

---

Entry two
LiCuHg, relaxed, DFT GGA-PBE; M_tot = 0.000 μB per formula unit; space-group type = No. 216; crystal system = cubic
1.0
-1.6108 -3.6882 1.6567
0.6778 -0.9841 4.1850
-3.3015 0.1461 2.8322
Cu Hg Li
1 1 1
Direct
0.7500 0.7500 0.7500
0.0000 0.0000 0.0000
0.5000 0.5000 0.5000

---

Entry three
LiCuHg, relaxed, DFT GGA-PBE; M_tot = 0.000 μB per formula unit; space-group type = No. 44; crystal system = orthorhombic
1.0
4.9086 0.0147 0.0075
2.5481 4.1954 -0.0075
-3.4760 -2.5520 2.3450
Cu Hg Li
1 1 1
Direct
0.0065 0.0065 0.0000
0.3329 0.3329 0.0000
0.6607 0.6607 0.0000

---

Entry four
LiCuHg, relaxed, DFT GGA-PBE; M_tot = 0.000 μB per formula unit; space-group type = No. 156; crystal system = trigonal
1.0
-3.6736 -2.3745 -0.5809
2.0946 -0.0903 3.8827
-1.5570 2.1908 0.8909
Cu Hg Li
1 1 1
Direct
0.0000 0.0000 0.9352
0.6667 0.3333 0.3352
0.3333 0.6667 0.7296

---

We find entry one to be the most stable, with the next structure 0.015 eV/atom higher.

---

Entry one
LiCuHg, relaxed, DFT GGA-PBE; M_tot = 0.000 μB per formula unit; space-group type = No. 6; crystal system = monoclinic
1.0
-2.9813 1.4231 -2.0220
-2.4461 -0.5915 3.1903
2.7858 4.9452 3.0528
Li Cu Hg
2 2 2
Direct
0.6113 0.5000 0.1180
0.7884 0.0000 0.4725
0.2868 0.5000 0.4729
0.9301 0.5000 0.7594
0.1334 0.0000 0.1616
0.4427 0.0000 0.7827

---

Entry two
LiCuHg, relaxed, DFT GGA-PBE; M_tot = 0.000 μB per formula unit; space-group type = No. 8; crystal system = monoclinic
1.0
4.1386 0.0127 -0.0159
2.0587 4.2489 0.4752
0.0192 0.7819 5.5526
Li Cu Hg
2 2 2
Direct
0.7319 0.8413 0.0969
0.4215 0.4618 0.4586
0.0637 0.1777 0.7722
0.7422 0.8199 0.6179
0.0894 0.1261 0.3011
0.3938 0.5174 0.9270

---

We find entry two to be the most stable, with the next structure 0.012 eV/atom higher.

---

Entry one
LiCuHg, relaxed, DFT GGA-PBE; M_tot = 0.000 μB per formula unit; space-group type = No. 11; crystal system = monoclinic
1.0
3.8275 0.0000 -0.0076
0.0000 4.0632 0.0000
-1.9000 0.0000 6.1623
Li Cu Hg
2 2 2
Direct
0.5943 0.2500 0.1871
0.4057 0.7500 0.8129
0.2488 0.2500 0.4988
0.7512 0.7500 0.5012
0.9063 0.2500 0.8129
0.0937 0.7500 0.1871

---

Entry two
LiCuHg, relaxed, DFT GGA-PBE; M_tot = 0.000 μB per formula unit; space-group type = No. 164; crystal system = trigonal
1.0
-3.1738 -1.9709 2.4640
4.1636 0.3738 1.5978
-1.2667 4.7711 2.1846
Li Cu Hg
2 2 2
Direct
0.3333 0.6667 0.3120
0.6667 0.3333 0.6880
0.0000 0.0000 0.5000
0.0000 0.0000 0.0000
0.3333 0.6667 0.8022
0.6667 0.3333 0.1978

---

Entry three
LiCuHg, relaxed, DFT GGA-PBE; M_tot = 0.000 μB per formula unit; space-group type = No. 12; crystal system = monoclinic
1.0
4.2674 0.0063 -0.0113
2.1313 4.1390 -0.0163
0.0120 0.9276 5.3602
Li Cu Hg
2 2 2
Direct
0.8353 0.8301 0.6906
0.1647 0.1699 0.3094
0.5000 0.5000 0.5000
0.5000 0.5000 0.0000
0.1606 0.1788 0.7978
0.8394 0.8212 0.2022

---

We find entry one to be the most stable, with the next structure 0.017 eV/atom higher.

---

Entry one
LiCuHg, relaxed, DFT GGA-PBE; M_tot = 0.000 μB per formula unit; space-group type = No. 12; crystal system = monoclinic
1.0
3.3761 0.0000 0.0000
-1.6881 4.5900 -0.1202
0.0000 -2.0576 6.2997
Hg Cu Li
2 2 2
Direct
0.0143 0.0286 0.7532
0.9857 0.9714 0.2468
0.3234 0.6467 0.4315
0.6766 0.3533 0.5685
0.6693 0.3385 0.1077
0.3307 0.6615 0.8923

---

Entry two
LiCuHg, relaxed, DFT GGA-PBE; M_tot = 0.000 μB per formula unit; space-group type = No. 65; crystal system = orthorhombic
1.0
-0.3401 -4.5171 0.4367
5.3765 -1.0942 -7.1313
3.6873 -0.0088 2.7814
Li Cu Hg
4 4 4
Direct
0.0000 0.6750 0.0000
0.0000 0.3250 0.0000
0.5000 0.1750 0.0000
0.5000 0.8250 0.0000
0.0000 0.8189 0.5000
0.0000 0.1811 0.5000
0.5000 0.3189 0.5000
0.5000 0.6811 0.5000
0.0000 0.0000 0.0000
0.5000 0.5000 0.0000
0.5000 0.0000 0.5000
0.0000 0.5000 0.5000

---

We find entry one to be the most stable, with the next structure 0.006 eV/atom higher.

---

Entry one
Li8Cu2Hg, relaxed, DFT GGA-PBE; M_tot = 0.000 μB per formula unit; space-group type = No. 12; crystal system = monoclinic
1.0
-2.2263 -0.6453 3.3664
-4.9237 -0.4281 -3.3382
3.2194 -6.6473 -1.6263
Li Cu Hg
8 2 1
Direct
0.6007 0.4618 0.2014
0.3118 0.0927 0.6236
0.1385 0.2003 0.2771
0.0546 0.7350 0.1092
0.8615 0.7997 0.7229
0.6882 0.9073 0.3764
0.3993 0.5382 0.7986
0.9454 0.2650 0.8908
0.2303 0.6158 0.4605
0.7697 0.3842 0.5395
0.5000 0.0000 0.0000

---

Entry two
Li8Cu2Hg, relaxed, DFT GGA-PBE; M_tot = 0.000 μB per formula unit; space-group type = No. 12; crystal system = monoclinic
1.0
-3.8928 -0.8506 -2.5462
0.2476 -7.2080 -1.8816
-2.7310 -4.9596 3.8766
Li Cu Hg
8 2 1
Direct
0.9049 0.0698 0.2458
0.9049 0.3156 0.7542
0.3164 0.3842 0.0000
0.5000 0.7599 0.4801
0.5000 0.2401 0.5199
0.6836 0.6158 0.0000
0.0951 0.6844 0.2458
0.0951 0.9302 0.7542
0.0000 0.3181 0.3638
0.0000 0.6819 0.6362
0.5000 0.0000 0.0000

---

We find entry one to be the most stable, with the next structure 0.075 eV/atom higher.